Entry from Alexandria via LeMat-Bulk: a geometry-optimized SbTe2PtAu structure (GGA-PBE).

```
data_SbTe2PtAu
_chemical_formula_sum 'Sb1 Te2 Pt1 Au1'
_cell_length_a 5.402
_cell_length_b 5.402
_cell_length_c 5.117
_cell_angle_alpha 90.00
_cell_angle_beta 90.00
_cell_angle_gamma 90.00
_space_group_name_H-M_alt 'P 4/m m m'
_space_group_IT_number 123
_space_group_name_Hall '-P 4 2'
loop_
_atom_site_label
_atom_site_type_symbol
_atom_site_fract_x
_atom_site_fract_y
_atom_site_fract_z
Sb1 Sb 0.000 0.000 0.000
Te1 Te 0.000 0.500 0.500
Pt1 Pt 0.000 0.000 0.500
Au1 Au 0.500 0.500 0.000
```

Calculated values
Magnetization: 0.00 μB/f.u.
Mass density: 8.55 g cm⁻³
Formation energy (no corrections): 0.546 eV/atom
Crystal system: tetragonal
E above lowest polymorph: 0 meV/atom